Compound: Ce2ErTh4
Source: Alexandria via LeMat-Bulk
Functional: PBE
Structure: optimized geometry

Values from the calculation:
**Space-group type**: P-42m (111)
**Offset from the most stable computed form**: 262 meV per atom
**Energy of formation from the pure elements**: 0.280 eV per atom
**M_tot**: 0.00 μB per formula unit

Cell lengths 7.9176, 7.9176, 3.5390 Å; angles 90.00, 90.00, 90.00 degrees
Positions (direct):
Ce: 0.0000 0.5000 0.0000
Ce: 0.5000 0.0000 0.0000
Er: 0.0000 0.0000 0.5000
Th: 0.2990 0.2990 0.3333
Th: 0.2990 0.7010 0.6667
Th: 0.7010 0.2990 0.6667
Th: 0.7010 0.7010 0.3333